No. 1
DFT (PBE) results for crystalline Na3SrAs at its relaxed geometry.

Calculated values
**ΔH_f (0 K)**: 925 meV/atom

Geometry as POSCAR:
```
Na3SrAs
1.0
6.1545 0.0000 0.0000
0.0000 6.1545 0.0000
0.0000 0.0000 6.1545
Sr Na As
1 3 1
direct
0.0000 0.0000 0.0000
0.0000 0.0000 0.5000
0.0000 0.5000 0.0000
0.5000 0.0000 0.0000
0.5000 0.5000 0.5000
```

=====

No. 2
DFT (PBE) results for crystalline LiSi2Pd4 at its relaxed geometry.

Calculated values
**E_form (uncorrected)**: -0.057 eV/atom

Geometry as POSCAR:
```
LiSi2Pd4
1.0
4.2064 0.0000 0.0000
0.0000 4.2064 0.0000
2.1032 2.1032 6.1685
Pd Li Si
4 1 2
direct
0.1980 0.1980 0.6040
0.8020 0.8020 0.3960
0.0000 0.5000 0.0000
0.5000 0.0000 0.0000
0.0000 0.0000 0.0000
0.6176 0.6176 0.7648
0.3824 0.3824 0.2352
```

=====

No. 3
DFT (PBE) results for crystalline RbAg7Cl12 at its relaxed geometry.

Calculated values
**E_form (uncorrected)**: -0.554 eV/atom

Geometry as POSCAR:
```
RbAg7Cl12
1.0
8.6012 0.0000 0.0000
-2.8671 8.1093 0.0000
-2.8671 -4.0547 7.0229
Cl Ag Rb
12 7 1
direct
0.3145 0.8234 0.1379
0.1766 0.8621 0.6855
0.4911 0.3145 0.1766
0.3145 0.1766 0.4911
0.6855 0.1766 0.8621
0.1766 0.4911 0.3145
0.5089 0.6855 0.8234
0.6855 0.8234 0.5089
0.8234 0.5089 0.6855
0.8621 0.6855 0.1766
0.1379 0.3145 0.8234
0.8234 0.1379 0.3145
0.0000 0.0000 0.5000
0.5000 0.5000 0.0000
0.5000 0.5000 0.5000
0.0000 0.5000 0.0000
0.5000 0.0000 0.5000
0.5000 0.0000 0.0000
0.0000 0.5000 0.5000
0.0000 0.0000 0.0000
```

=====

Number 1: V 233 Å³ per cell, size of the total moment 0.000 μB/f.u., ρ 1.65 Mg/m³. Number 2: V 109 Å³ per cell, size of the total moment 0.000 μB/f.u., ρ 7.44 Mg/m³. Number 3: V 490 Å³ per cell, size of the total moment 0.546 μB/f.u., ρ 4.29 Mg/m³.